[1]
Compound: BeZnTe2
Source: Alexandria
Functional: PBE-GGA
Structure: optimized geometry

Values from the calculation:
Relative energy among the computed polymorphs, eV/f.u.: 3.08
E_form (uncorrected), eV/atom: 0.3637
Space group: I4/mcm, No. 140
Theoretical density, kg/m³: 6165

Lattice parameters (Å, degrees): 7.184 7.184 6.882 90.00 90.00 90.00
Sites, in units of the cell vectors:
1 Be 0.000 0.000 0.250
2 Be 0.000 0.000 0.750
3 Be 0.500 0.500 0.250
4 Be 0.500 0.500 0.750
5 Zn 0.000 0.500 0.250
6 Zn 0.000 0.500 0.750
7 Zn 0.500 0.000 0.250
8 Zn 0.500 0.000 0.750
9 Te 0.203 0.297 0.000
10 Te 0.203 0.703 0.500
11 Te 0.297 0.203 0.500
12 Te 0.297 0.797 0.000
13 Te 0.703 0.203 0.000
14 Te 0.703 0.797 0.500
15 Te 0.797 0.297 0.500
16 Te 0.797 0.703 0.000


[2]
Compound: Cu2SbAu
Source: Alexandria
Functional: PBE-GGA
Structure: optimized geometry

Values from the calculation:
E_form (uncorrected), eV/atom: 0.0727
Space group: Pm, No. 6
Theoretical density, kg/m³: 10819

Lattice parameters (Å, degrees): 3.305 4.157 5.080 90.00 101.34 90.00
Sites, in units of the cell vectors:
1 Cu 0.000 0.000 0.000
2 Cu 0.107 0.500 0.299
3 Sb 0.635 0.000 0.470
4 Au 0.453 0.500 0.860


[3]
Compound: Zr5Ir3
Source: Alexandria
Functional: PBE-GGA
Structure: optimized geometry

Values from the calculation:
Energy of formation, eV per atom: -0.613
Relative energy among the computed polymorphs, eV/f.u.: 0.95
Space group: Cmmm, No. 65
Theoretical density, kg/m³: 11421

Lattice parameters (Å, degrees): 6.822 9.281 4.743 90.00 90.00 90.00
Sites, in units of the cell vectors:
1 Zr 0.000 0.000 0.000
2 Zr 0.240 0.500 0.500
3 Zr 0.250 0.250 0.000
4 Zr 0.250 0.750 0.000
5 Zr 0.260 0.000 0.500
6 Zr 0.500 0.500 0.000
7 Zr 0.740 0.000 0.500
8 Zr 0.750 0.250 0.000
9 Zr 0.750 0.750 0.000
10 Zr 0.760 0.500 0.500
11 Ir 0.000 0.241 0.500
12 Ir 0.000 0.500 0.000
13 Ir 0.000 0.759 0.500
14 Ir 0.500 0.000 0.000
15 Ir 0.500 0.259 0.500
16 Ir 0.500 0.741 0.500


- Number 1 is which compound?
  BeZnTe2